The following is a DFT calculation (GGA-PBEsol) of a relaxed structure of La2ScIr.

Lattice parameters (Å, degrees): 3.399 3.399 8.859 90.00 90.00 90.00
Space group P4mm (No. 99)
Unique sites:
La 0.000 0.000 0.000
La 0.500 0.500 0.345
Sc 0.000 0.000 0.636
Ir 0.500 0.500 0.788

- Total energy: -7.12 eV/atom
- Crystal system: tetragonal
- Distance to the lowest polymorph of the same formula: 14 meV per atom

=====

The following is a DFT calculation (GGA-PBEsol) of a relaxed structure of Cr2ReNi.

Lattice parameters (Å, degrees): 2.990 2.990 5.317 90.00 90.00 90.00
Space group P4mm (No. 99)
Unique sites:
Cr 0.000 0.000 0.000
Cr 0.500 0.500 0.244
Re 0.500 0.500 0.740
Ni 0.000 0.000 0.471

- Total energy: -9.84 eV/atom
- Crystal system: tetragonal

=====

The following is a DFT calculation (GGA-PBEsol) of a relaxed structure of La2TcH2.

Lattice parameters (Å, degrees): 3.534 3.534 13.611 90.00 90.00 90.00
Space group I4/mmm (No. 139)
Unique sites:
La 0.000 0.000 0.131
Tc 0.000 0.000 0.500
H 0.000 0.500 0.250

- Total energy: -5.83 eV/atom
- Crystal system: tetragonal

=====

The following is a DFT calculation (GGA-PBEsol) of a relaxed structure of SrLiTl.

Lattice parameters (Å, degrees): 5.0119 5.0119 4.0085 90.00 90.00 120.00
Space group P-6m2 (No. 187)
Unique sites:
Sr 0.0000 0.0000 0.0000
Li 0.3333 0.6667 0.5000
Tl 0.6667 0.3333 0.5000

- Total energy: -2.45 eV/atom
- Crystal system: hexagonal
- Distance to the lowest polymorph of the same formula: 0 meV per atom